# PBE Ca2EuCd, relaxed
# **Electronic total energy**: -14.63 eV per cell
# **Total moment**: 7.6 μB/cell
# **Formation energy**: 141 meV per atom
data_Ca2EuCd
_chemical_formula_sum 'Ca2 Eu1 Cd1'
_symmetry_space_group_name_H-M 'P 1'
_symmetry_Int_Tables_number 1
_symmetry_space_group_name_Hall 'P 1'
_cell_length_a 3.789
_cell_length_b 3.789
_cell_length_c 13.069
_cell_angle_alpha 81.67
_cell_angle_beta 81.67
_cell_angle_gamma 60.00
loop_
_atom_site_label
_atom_site_fract_x
_atom_site_fract_y
_atom_site_fract_z
_atom_site_occupancy
Eu1 0.500 0.500 0.500 1
Ca1 0.084 0.084 0.748 1
Ca2 0.916 0.916 0.252 1
Cd1 0.000 0.000 0.000 1

***

# PBE LiO4, relaxed
# **Uncorrected formation energy**: 491 kJ/mol of formula units
# **Electronic total energy**: -16.66 eV per cell
# **Total moment**: 7.0 μB/cell
data_LiO4
_chemical_formula_sum 'Li1 O4'
_symmetry_space_group_name_H-M 'P 1'
_symmetry_Int_Tables_number 1
_symmetry_space_group_name_Hall 'P 1'
_cell_length_a 3.822
_cell_length_b 3.822
_cell_length_c 3.822
_cell_angle_alpha 90.00
_cell_angle_beta 90.00
_cell_angle_gamma 90.00
loop_
_atom_site_label
_atom_site_fract_x
_atom_site_fract_y
_atom_site_fract_z
_atom_site_occupancy
O1 0.000 0.000 0.000 1
O2 0.500 0.000 0.500 1
O3 0.000 0.500 0.500 1
O4 0.500 0.500 0.000 1
Li1 0.500 0.500 0.500 1

***

# PBE PH2Ru, relaxed
# **Electronic total energy**: -39.30 eV per cell
# **Total moment**: 0.0 μB/cell
data_PH2Ru
_chemical_formula_sum 'P2 H4 Ru2'
_symmetry_space_group_name_H-M 'P 1'
_symmetry_Int_Tables_number 1
_symmetry_space_group_name_Hall 'P 1'
_cell_length_a 3.378
_cell_length_b 3.378
_cell_length_c 7.209
_cell_angle_alpha 76.45
_cell_angle_beta 76.45
_cell_angle_gamma 90.00
loop_
_atom_site_label
_atom_site_fract_x
_atom_site_fract_y
_atom_site_fract_z
_atom_site_occupancy
Ru1 0.000 0.000 0.000 1
Ru2 0.750 0.250 0.500 1
H1 0.875 0.125 0.250 1
H2 0.875 0.625 0.250 1
H3 0.375 0.125 0.750 1
H4 0.875 0.125 0.750 1
P1 0.500 0.500 0.000 1
P2 0.250 0.750 0.500 1

***

# PBE Li3Zn7Ga2, relaxed
# **Electronic total energy**: -21.85 eV per cell
# **Total moment**: 0.0 μB/cell
# **Formation energy**: -95 meV per atom
data_Li3Zn7Ga2
_chemical_formula_sum 'Li3 Zn7 Ga2'
_symmetry_space_group_name_H-M 'P 1'
_symmetry_Int_Tables_number 1
_symmetry_space_group_name_Hall 'P 1'
_cell_length_a 3.372
_cell_length_b 4.173
_cell_length_c 14.103
_cell_angle_alpha 98.00
_cell_angle_beta 90.00
_cell_angle_gamma 90.00
loop_
_atom_site_label
_atom_site_fract_x
_atom_site_fract_y
_atom_site_fract_z
_atom_site_occupancy
Li1 0.500 0.500 0.000 1
Li2 0.000 0.186 0.362 1
Li3 0.000 0.814 0.638 1
Zn1 0.500 0.729 0.455 1
Zn2 0.500 0.271 0.545 1
Zn3 0.000 0.577 0.137 1
Zn4 0.000 0.000 0.000 1
Zn5 0.000 0.423 0.863 1
Zn6 0.500 0.913 0.843 1
Zn7 0.500 0.087 0.157 1
Ga1 0.500 0.648 0.277 1
Ga2 0.500 0.352 0.723 1

***

# PBE KHgSe3, relaxed
# **Uncorrected formation energy**: 364 kJ/mol of formula units
# **Electronic total energy**: -8.08 eV per cell
# **Total moment**: 5.0 μB/cell
data_KHgSe3
_chemical_formula_sum 'K1 Hg1 Se3'
_symmetry_space_group_name_H-M 'P 1'
_symmetry_Int_Tables_number 1
_symmetry_space_group_name_Hall 'P 1'
_cell_length_a 6.281
_cell_length_b 6.281
_cell_length_c 6.281
_cell_angle_alpha 90.00
_cell_angle_beta 90.00
_cell_angle_gamma 90.00
loop_
_atom_site_label
_atom_site_fract_x
_atom_site_fract_y
_atom_site_fract_z
_atom_site_occupancy
K1 0.000 0.000 0.000 1
Hg1 0.500 0.500 0.500 1
Se1 0.000 0.500 0.000 1
Se2 0.000 0.000 0.500 1
Se3 0.500 0.000 0.000 1

***

# PBE Ho8ErCo2, relaxed
# **Electronic total energy**: -55.28 eV per cell
# **Total moment**: 0.0 μB/cell
# **Formation energy**: 11 meV per atom
data_Ho8ErCo2
_chemical_formula_sum 'Ho8 Er1 Co2'
_symmetry_space_group_name_H-M 'P 1'
_symmetry_Int_Tables_number 1
_symmetry_space_group_name_Hall 'P 1'
_cell_length_a 6.354
_cell_length_b 7.366
_cell_length_c 7.366
_cell_angle_alpha 65.22
_cell_angle_beta 91.24
_cell_angle_gamma 91.24
loop_
_atom_site_label
_atom_site_fract_x
_atom_site_fract_y
_atom_site_fract_z
_atom_site_occupancy
Ho1 0.186 0.445 0.867 1
Ho2 0.814 0.133 0.555 1
Ho3 0.426 0.865 0.865 1
Ho4 0.574 0.135 0.135 1
Ho5 0.186 0.867 0.445 1
Ho6 0.814 0.555 0.133 1
Ho7 0.703 0.615 0.615 1
Ho8 0.297 0.385 0.385 1
Er1 0.000 0.000 0.000 1
Co1 0.995 0.785 0.785 1
Co2 0.005 0.215 0.215 1